This record from Alexandria via LeMat-Bulk describes crystalline AlFeN2F at its relaxed geometry. The functional is PBEsol.

N(E_F) in states/eV/f.u.: 3.49
DFT total energy in eV/atom: -6.373
Spin magnetization in μB/f.u.: 0.603
Crystal system: tetragonal
Raw formation energy in eV/atom: 0.0347

a = 3.6363 Å, b = 3.6363 Å, c = 3.7656 Å
α = 90.00°, β = 90.00°, γ = 90.00°
Last column: nearest neighbours and their distance in Å.
Space group P4/mmm (No. 123)
Inequivalent atoms, fractional coordinates:
Al1 0.0000 0.0000 0.0000 [1 per cell]  4 F 2.57, 8 N 2.62
Fe1 0.5000 0.5000 0.5000 [1 per cell]  4 N 1.82, 2 F 1.88
N1 0.0000 0.5000 0.5000 [2 per cell]  2 Fe 1.82
F1 0.5000 0.5000 0.0000 [1 per cell]  2 Fe 1.88